Below is an optimized crystal structure of MgU2Si2O16, with properties calculated at the PBE-GGA level.

a = 9.234 Å, b = 9.234 Å, c = 6.948 Å
α = 76.78°, β = 76.78°, γ = 44.48°
Fractional coordinates of all 21 atoms:
O  0.113  0.113  0.431
O  0.149  0.149  0.918
O  0.252  0.252  0.533
O  0.367  0.367  0.805
O  0.061  0.419  0.190
U  0.742  0.742  0.155
O  0.907  0.085  0.191
O  0.085  0.907  0.191
U  0.258  0.258  0.845
Mg  0.000  0.000  0.500
O  0.915  0.093  0.809
O  0.419  0.061  0.190
Si  0.791  0.791  0.654
O  0.939  0.581  0.810
O  0.748  0.748  0.467
O  0.581  0.939  0.810
O  0.633  0.633  0.195
O  0.851  0.851  0.082
O  0.093  0.915  0.809
O  0.887  0.887  0.569
Si  0.209  0.209  0.346

Computed properties:
ΔE_f (raw): -1.9787 eV per atom
magnetization: 5.3 Bohr magnetons per cell